(1)
V2TePb | PBE-GGA | optimized geometry

Results
Its magnetization is 1.29 Bohr magnetons per cell. For the energy above the most stable polymorph in this dataset, the calculation gives 0.0000 eV/atom. The final energy is -93.04 eV for the cell shown. Its density of states at the Fermi level is 4.05 states/eV/f.u. The value obtained for the uncorrected formation energy is 456.6 meV per atom.

Unit cell a=6.6953 b=6.6953 c=6.6953 alpha=90.00 beta=90.00 gamma=90.00
With the nearest neighbours (Å) after each atom.
Space group Fm-3m (No. 225)
One atom of each set of equivalent atoms:
V: 0.2500 0.2500 0.2500 x8  4 Pb 2.90, 4 Te 2.90
Te: 0.0000 0.0000 0.0000 x4  8 V 2.90
Pb: 0.0000 0.0000 0.5000 x4  8 V 2.90

***

(2)
HfTa3Cl | PBE-GGA | optimized geometry

Results
Its magnetization is 0.00 Bohr magnetons per cell. For the energy above the most stable polymorph in this dataset, the calculation gives 0.0000 eV/atom. The final energy is -44.20 eV for the cell shown. Its density of states at the Fermi level is 3.24 states/eV/f.u. The value obtained for the uncorrected formation energy is 632.1 meV per atom.

Unit cell a=4.5766 b=4.5766 c=4.5766 alpha=90.00 beta=90.00 gamma=90.00
With the nearest neighbours (Å) after each atom.
Space group Pm-3m (No. 221)
One atom of each set of equivalent atoms:
Hf: 0.0000 0.0000 0.0000 x1  12 Ta 3.24
Ta: 0.0000 0.5000 0.5000 x3  2 Cl 2.29
Cl: 0.5000 0.5000 0.5000 x1  6 Ta 2.29